Record 1
Computed, not measured: an optimized crystal structure of PuCuPS at the PBE level of DFT.

a b c (Å): 3.903 3.903 9.014
angles (deg): 90.00 90.00 90.00
Positions (direct):
Pu  0.500  0.000  0.718
Pu  0.000  0.500  0.282
Cu  0.500  0.500  0.000
Cu  0.000  0.000  0.000
P  0.000  0.500  0.841
P  0.500  0.000  0.159
S  0.000  0.000  0.500
S  0.500  0.500  0.500

Space group = P4/nmm
Uncorrected formation energy = -0.820 eV per atom
Crystal system = tetragonal

=====

Record 2
Computed, not measured: an optimized crystal structure of Ta2AgHg at the PBE level of DFT.

a b c (Å): 3.942 4.114 4.537
angles (deg): 90.00 90.00 90.00
Positions (direct):
Hg  0.000  0.500  0.500
Ag  0.500  0.000  0.500
Ta  0.000  0.000  0.000
Ta  0.500  0.500  0.000

DFT formation energy = 0.384 eV per atom
Space group = Pmmm
Crystal system = orthorhombic

=====

Record 3
Computed, not measured: an optimized crystal structure of Cs2Mg2Te3 at the PBE level of DFT.

a b c (Å): 4.724 9.566 8.727
angles (deg): 127.23 105.70 90.00
Positions (direct):
Cs  0.436  0.216  0.871
Cs  0.564  0.784  0.129
Mg  0.194  0.323  0.388
Mg  0.806  0.677  0.612
Te  0.000  0.000  0.000
Te  0.191  0.620  0.382
Te  0.809  0.380  0.618

Space group = C2/m
Uncorrected formation energy = -1.015 eV per atom
Polymorph energy (0 for the lowest one) = 0.00 eV/f.u.
Crystal system = monoclinic

=====

Record 4
Computed, not measured: an optimized crystal structure of YTeAu3 at the PBE level of DFT.

a b c (Å): 5.412 5.412 5.412
angles (deg): 90.00 90.00 90.00
Positions (direct):
Y  0.000  0.000  0.000
Te  0.500  0.500  0.500
Au  0.000  0.500  0.000
Au  0.000  0.000  0.500
Au  0.500  0.000  0.000

Space group = Pm-3m
Uncorrected formation energy = 0.514 eV per atom
Polymorph energy (0 for the lowest one) = 1.46 eV/f.u.
Crystal system = cubic

=====

It is found that the magnetic moment values, taken in the order of the records, are 1.177 0.000 0.000 0.000 μB per atom.
It is found that the theoretical density values, taken in the order of the records, are 9.0 15.1 3.9 8.5 Mg/m³.